KTiNiSe3 (PBE, relaxed); total DFT energy (no corrections) = -5.19 eV/atom; total moment = 0.00 μB per formula unit; density = 4.52 Mg/m³; formation energy from raw total energies = -569 kJ/mol of formula units
1.0
3.699 0.000 0.000
0.000 8.743 0.089
0.000 -4.094 8.641
K Se Ti Ni
2 6 2 2
direct
0.250 0.233 0.252
0.750 0.767 0.748
0.750 0.217 0.543
0.250 0.115 0.860
0.250 0.528 0.858
0.250 0.783 0.457
0.750 0.885 0.140
0.750 0.472 0.142
0.250 0.696 0.166
0.750 0.304 0.834
0.250 0.088 0.602
0.750 0.912 0.398